Crystalline HfReRu2 at its relaxed geometry, computed with PBE-GGA.

Cell lengths 5.7543, 5.7543, 11.3999 Å; angles 90.00, 90.00, 90.00 degrees
Last column: nearest neighbours and their distance in Å.
Space group I-42d (No. 122)
Symmetry-distinct sites (fractional):
Hf1 0.0000 0.0000 0.0000 (multiplicity 4)  4 Ru 2.59
Re1 0.0000 0.0000 0.5000 (multiplicity 4)  4 Ru 2.39
Ru1 0.2195 0.2500 0.6250 (multiplicity 8)  2 Re 2.39, 2 Hf 2.59

## Properties
DFT formation energy = 1.166 eV/atom
DOS at the Fermi energy = 23.05 states/eV/cell
Volume = 23.59 A^3/atom
Distance to the lowest polymorph of the same formula = 1.185 eV/atom